! YTiCoNi PBE-GGA relaxed; values from VASP
&SYSTEM
  ibrav = 0, nat = 16, ntyp = 4
/
ATOMIC_SPECIES
Y 88.91 Y.upf
Ti 47.87 Ti.upf
Co 58.93 Co.upf
Ni 58.69 Ni.upf
CELL_PARAMETERS angstrom
6.3832 0.0000 0.0000
0.0000 6.3832 0.0000
0.0000 0.0000 6.3832
ATOMIC_POSITIONS crystal
Y 0.0000 0.0000 0.0000
Y 0.0000 0.5000 0.5000
Y 0.5000 0.0000 0.5000
Y 0.5000 0.5000 0.0000
Ti 0.0000 0.0000 0.5000
Ti 0.0000 0.5000 0.0000
Ti 0.5000 0.0000 0.0000
Ti 0.5000 0.5000 0.5000
Co 0.2500 0.2500 0.7500
Co 0.2500 0.7500 0.2500
Co 0.7500 0.2500 0.2500
Co 0.7500 0.7500 0.7500
Ni 0.2500 0.2500 0.2500
Ni 0.2500 0.7500 0.7500
Ni 0.7500 0.2500 0.7500
Ni 0.7500 0.7500 0.2500
! total moment: 0.46 μB per formula unit
! SG: F-43m, No. 216
! E_form: -156.1 meV/atom
! crystal system: cubic

***

! ZrTiCoNi2 PBE-GGA relaxed; values from VASP
&SYSTEM
  ibrav = 0, nat = 5, ntyp = 4
/
ATOMIC_SPECIES
Zr 91.22 Zr.upf
Ti 47.87 Ti.upf
Co 58.93 Co.upf
Ni 58.69 Ni.upf
CELL_PARAMETERS angstrom
4.5353 0.0000 0.0000
0.0000 4.5353 0.0000
0.0000 0.0000 4.4451
ATOMIC_POSITIONS crystal
Zr 0.0000 0.0000 0.0000
Ti 0.5000 0.5000 0.5000
Co 0.0000 0.0000 0.5000
Ni 0.0000 0.5000 0.0000
Ni 0.5000 0.0000 0.0000
! total moment: 0.00 μB per formula unit
! SG: P4/mmm, No. 123
! E_form: 1074.0 meV/atom
! crystal system: tetragonal

***

! TlCo2Ni2 PBE-GGA relaxed; values from VASP
&SYSTEM
  ibrav = 0, nat = 10, ntyp = 3
/
ATOMIC_SPECIES
Tl 204.38 Tl.upf
Co 58.93 Co.upf
Ni 58.69 Ni.upf
CELL_PARAMETERS angstrom
3.6020 0.0000 0.0000
0.0000 3.6020 0.0000
0.0000 0.0000 10.8641
ATOMIC_POSITIONS crystal
Tl 0.0000 0.0000 0.0000
Tl 0.5000 0.5000 0.5000
Co 0.0000 0.0000 0.3944
Co 0.0000 0.0000 0.6056
Co 0.5000 0.5000 0.1056
Co 0.5000 0.5000 0.8944
Ni 0.0000 0.5000 0.2500
Ni 0.0000 0.5000 0.7500
Ni 0.5000 0.0000 0.2500
Ni 0.5000 0.0000 0.7500
! total moment: 4.18 μB per formula unit
! SG: I4/mmm, No. 139
! E_form: 419.5 meV/atom
! crystal system: tetragonal
! distance to the lowest polymorph of the same formula: 45 meV per atom

***

! TlCoNi2 PBE-GGA relaxed; values from VASP
&SYSTEM
  ibrav = 0, nat = 4, ntyp = 3
/
ATOMIC_SPECIES
Tl 204.38 Tl.upf
Co 58.93 Co.upf
Ni 58.69 Ni.upf
CELL_PARAMETERS angstrom
3.0756 0.0000 0.0000
0.0000 3.0756 0.0000
0.0000 0.0000 5.8732
ATOMIC_POSITIONS crystal
Tl 0.0000 0.0000 0.0000
Co 0.5000 0.5000 0.3022
Ni 0.0000 0.0000 0.4988
Ni 0.5000 0.5000 0.7164
! total moment: 2.14 μB per formula unit
! SG: P4mm, No. 99
! E_form: 346.4 meV/atom
! crystal system: tetragonal
! distance to the lowest polymorph of the same formula: 28 meV per atom

***

! TlCoNi PBE-GGA relaxed; values from VASP
&SYSTEM
  ibrav = 0, nat = 12, ntyp = 3
/
ATOMIC_SPECIES
Tl 204.38 Tl.upf
Co 58.93 Co.upf
Ni 58.69 Ni.upf
CELL_PARAMETERS angstrom
5.9025 0.0000 0.0000
0.0000 5.9025 0.0000
0.0000 0.0000 5.9025
ATOMIC_POSITIONS crystal
Tl 0.0000 0.0000 0.0000
Tl 0.0000 0.5000 0.5000
Tl 0.5000 0.0000 0.5000
Tl 0.5000 0.5000 0.0000
Co 0.0000 0.0000 0.5000
Co 0.0000 0.5000 0.0000
Co 0.5000 0.0000 0.0000
Co 0.5000 0.5000 0.5000
Ni 0.2500 0.2500 0.7500
Ni 0.2500 0.7500 0.2500
Ni 0.7500 0.2500 0.2500
Ni 0.7500 0.7500 0.7500
! total moment: 2.07 μB per formula unit
! SG: F-43m, No. 216
! E_form: 562.7 meV/atom
! crystal system: cubic
! distance to the lowest polymorph of the same formula: 114 meV per atom

***

! TlCoNi4 PBE-GGA relaxed; values from VASP
&SYSTEM
  ibrav = 0, nat = 6, ntyp = 3
/
ATOMIC_SPECIES
Tl 204.38 Tl.upf
Co 58.93 Co.upf
Ni 58.69 Ni.upf
CELL_PARAMETERS angstrom
0.0000 3.3935 3.3935
3.3935 0.0000 3.3935
3.3935 3.3935 0.0000
ATOMIC_POSITIONS crystal
Tl 0.0000 0.0000 0.0000
Co 0.7500 0.7500 0.7500
Ni 0.3757 0.3757 0.3757
Ni 0.3757 0.3757 0.8729
Ni 0.3757 0.8729 0.3757
Ni 0.8729 0.3757 0.3757
! total moment: 3.77 μB per formula unit
! SG: F-43m, No. 216
! E_form: 283.9 meV/atom
! crystal system: cubic

***

! TlCo4Ni PBE-GGA relaxed; values from VASP
&SYSTEM
  ibrav = 0, nat = 6, ntyp = 3
/
ATOMIC_SPECIES
Tl 204.38 Tl.upf
Co 58.93 Co.upf
Ni 58.69 Ni.upf
CELL_PARAMETERS angstrom
0.0000 3.4026 3.4026
3.4026 0.0000 3.4026
3.4026 3.4026 0.0000
ATOMIC_POSITIONS crystal
Tl 0.0000 0.0000 0.0000
Co 0.1278 0.6241 0.6241
Co 0.6241 0.1278 0.6241
Co 0.6241 0.6241 0.1278
Co 0.6241 0.6241 0.6241
Ni 0.2500 0.2500 0.2500
! total moment: 6.98 μB per formula unit
! SG: F-43m, No. 216
! E_form: 360.1 meV/atom
! crystal system: cubic

***

! TlCo3Ni PBE-GGA relaxed; values from VASP
&SYSTEM
  ibrav = 0, nat = 5, ntyp = 3
/
ATOMIC_SPECIES
Tl 204.38 Tl.upf
Co 58.93 Co.upf
Ni 58.69 Ni.upf
CELL_PARAMETERS angstrom
4.7319 0.0000 0.0000
0.0000 4.7319 0.0000
0.0000 0.0000 4.7319
ATOMIC_POSITIONS crystal
Tl 0.0000 0.0000 0.0000
Co 0.0000 0.0000 0.5000
Co 0.0000 0.5000 0.0000
Co 0.5000 0.0000 0.0000
Ni 0.5000 0.5000 0.5000
! total moment: 5.73 μB per formula unit
! SG: Pm-3m, No. 221
! E_form: 2055.0 meV/atom
! crystal system: cubic
! distance to the lowest polymorph of the same formula: 1081 meV per atom

***

! TlCo2Ni2 PBE-GGA relaxed; values from VASP
&SYSTEM
  ibrav = 0, nat = 10, ntyp = 3
/
ATOMIC_SPECIES
Tl 204.38 Tl.upf
Co 58.93 Co.upf
Ni 58.69 Ni.upf
CELL_PARAMETERS angstrom
7.0317 0.0000 0.0000
0.0000 7.0317 0.0000
0.0000 0.0000 2.7645
ATOMIC_POSITIONS crystal
Tl 0.0000 0.0000 0.0000
Tl 0.5000 0.5000 0.0000
Co 0.1193 0.3807 0.0000
Co 0.3807 0.8807 0.0000
Co 0.6193 0.1193 0.0000
Co 0.8807 0.6193 0.0000
Ni 0.1681 0.6681 0.5000
Ni 0.3319 0.1681 0.5000
Ni 0.6681 0.8319 0.5000
Ni 0.8319 0.3319 0.5000
! total moment: 4.72 μB per formula unit
! SG: P4/mbm, No. 127
! E_form: 375.0 meV/atom
! crystal system: tetragonal
! distance to the lowest polymorph of the same formula: 0 meV per atom

***

! TlCoNi2 PBE-GGA relaxed; values from VASP
&SYSTEM
  ibrav = 0, nat = 4, ntyp = 3
/
ATOMIC_SPECIES
Tl 204.38 Tl.upf
Co 58.93 Co.upf
Ni 58.69 Ni.upf
CELL_PARAMETERS angstrom
2.8366 0.0000 0.0000
0.0000 4.2372 0.0000
0.0000 0.0000 4.6698
ATOMIC_POSITIONS crystal
Tl 0.0000 0.0000 0.0000
Co 0.0000 0.5000 0.6240
Ni 0.5000 0.0000 0.5051
Ni 0.5000 0.5000 0.1962
! total moment: 2.22 μB per formula unit
! SG: Pmm2, No. 25
! E_form: 386.1 meV/atom
! crystal system: orthorhombic
! distance to the lowest polymorph of the same formula: 68 meV per atom

***

! TlCoNi2 PBE-GGA relaxed; values from VASP
&SYSTEM
  ibrav = 0, nat = 12, ntyp = 3
/
ATOMIC_SPECIES
Tl 204.38 Tl.upf
Co 58.93 Co.upf
Ni 58.69 Ni.upf
CELL_PARAMETERS angstrom
2.8972 0.0000 0.0000
-1.4486 2.5091 0.0000
0.0000 0.0000 24.2097
ATOMIC_POSITIONS crystal
Tl 0.0000 0.0000 0.0000
Tl 0.3333 0.6667 0.6667
Tl 0.6667 0.3333 0.3333
Co 0.0000 0.0000 0.7607
Co 0.3333 0.6667 0.4274
Co 0.6667 0.3333 0.0941
Ni 0.0000 0.0000 0.2425
Ni 0.0000 0.0000 0.5005
Ni 0.3333 0.6667 0.1671
Ni 0.3333 0.6667 0.9092
Ni 0.6667 0.3333 0.5759
Ni 0.6667 0.3333 0.8338
! total moment: 2.34 μB per formula unit
! SG: R3m, No. 160
! E_form: 594.4 meV/atom
! crystal system: trigonal
! distance to the lowest polymorph of the same formula: 276 meV per atom

***

! Tl3CoNi PBE-GGA relaxed; values from VASP
&SYSTEM
  ibrav = 0, nat = 5, ntyp = 3
/
ATOMIC_SPECIES
Tl 204.38 Tl.upf
Co 58.93 Co.upf
Ni 58.69 Ni.upf
CELL_PARAMETERS angstrom
4.9977 0.0000 0.0000
0.0000 4.9977 0.0000
0.0000 0.0000 4.9977
ATOMIC_POSITIONS crystal
Tl 0.0000 0.0000 0.5000
Tl 0.0000 0.5000 0.0000
Tl 0.5000 0.0000 0.0000
Co 0.0000 0.0000 0.0000
Ni 0.5000 0.5000 0.5000
! total moment: 0.00 μB per formula unit
! SG: Pm-3m, No. 221
! E_form: 713.5 meV/atom
! crystal system: cubic
! distance to the lowest polymorph of the same formula: 0 meV per atom

***

! Tl3CoNi PBE-GGA relaxed; values from VASP
&SYSTEM
  ibrav = 0, nat = 5, ntyp = 3
/
ATOMIC_SPECIES
Tl 204.38 Tl.upf
Co 58.93 Co.upf
Ni 58.69 Ni.upf
CELL_PARAMETERS angstrom
5.0542 0.0000 0.0000
0.0000 5.0542 0.0000
0.0000 0.0000 5.0542
ATOMIC_POSITIONS crystal
Tl 0.0000 0.0000 0.5000
Tl 0.0000 0.5000 0.0000
Tl 0.5000 0.0000 0.0000
Co 0.5000 0.5000 0.5000
Ni 0.0000 0.0000 0.0000
! total moment: 1.99 μB per formula unit
! SG: Pm-3m, No. 221
! E_form: 732.3 meV/atom
! crystal system: cubic
! distance to the lowest polymorph of the same formula: 19 meV per atom

***

! TlCo3Ni PBE-GGA relaxed; values from VASP
&SYSTEM
  ibrav = 0, nat = 5, ntyp = 3
/
ATOMIC_SPECIES
Tl 204.38 Tl.upf
Co 58.93 Co.upf
Ni 58.69 Ni.upf
CELL_PARAMETERS angstrom
4.3511 0.0000 0.0000
0.0000 4.3511 0.0000
0.0000 0.0000 4.3511
ATOMIC_POSITIONS crystal
Tl 0.0000 0.0000 0.0000
Co 0.0000 0.5000 0.5000
Co 0.5000 0.0000 0.5000
Co 0.5000 0.5000 0.0000
Ni 0.5000 0.5000 0.5000
! total moment: 6.18 μB per formula unit
! SG: Pm-3m, No. 221
! E_form: 974.0 meV/atom
! crystal system: cubic
! distance to the lowest polymorph of the same formula: 0 meV per atom

***

! TlCoNi2 PBE-GGA relaxed; values from VASP
&SYSTEM
  ibrav = 0, nat = 8, ntyp = 3
/
ATOMIC_SPECIES
Tl 204.38 Tl.upf
Co 58.93 Co.upf
Ni 58.69 Ni.upf
CELL_PARAMETERS angstrom
3.8354 0.0000 0.0000
0.0000 3.8354 0.0000
0.0000 0.0000 7.4375
ATOMIC_POSITIONS crystal
Tl 0.0000 0.0000 0.0000
Tl 0.5000 0.5000 0.5000
Co 0.0000 0.0000 0.5000
Co 0.5000 0.5000 0.0000
Ni 0.0000 0.5000 0.2500
Ni 0.0000 0.5000 0.7500
Ni 0.5000 0.0000 0.2500
Ni 0.5000 0.0000 0.7500
! total moment: 2.09 μB per formula unit
! SG: I4/mmm, No. 139
! E_form: 318.4 meV/atom
! crystal system: tetragonal
! distance to the lowest polymorph of the same formula: 0 meV per atom

***

! TlCoNi PBE-GGA relaxed; values from VASP
&SYSTEM
  ibrav = 0, nat = 3, ntyp = 3
/
ATOMIC_SPECIES
Tl 204.38 Tl.upf
Co 58.93 Co.upf
Ni 58.69 Ni.upf
CELL_PARAMETERS angstrom
4.1788 0.0000 0.0000
-2.0894 3.6190 0.0000
0.0000 0.0000 3.0130
ATOMIC_POSITIONS crystal
Tl 0.0000 0.0000 0.0000
Co 0.6667 0.3333 0.5000
Ni 0.3333 0.6667 0.5000
! total moment: 1.78 μB per formula unit
! SG: P-6m2, No. 187
! E_form: 519.9 meV/atom
! crystal system: hexagonal
! distance to the lowest polymorph of the same formula: 71 meV per atom

***

! TlCoNi2 PBE-GGA relaxed; values from VASP
&SYSTEM
  ibrav = 0, nat = 8, ntyp = 3
/
ATOMIC_SPECIES
Tl 204.38 Tl.upf
Co 58.93 Co.upf
Ni 58.69 Ni.upf
CELL_PARAMETERS angstrom
3.8378 0.0000 0.0000
0.0000 3.8378 0.0000
0.0000 0.0000 7.4110
ATOMIC_POSITIONS crystal
Tl 0.0000 0.0000 0.0000
Tl 0.5000 0.5000 0.5000
Co 0.0000 0.5000 0.7500
Co 0.5000 0.0000 0.2500
Ni 0.0000 0.0000 0.5000
Ni 0.0000 0.5000 0.2500
Ni 0.5000 0.0000 0.7500
Ni 0.5000 0.5000 0.0000
! total moment: 1.98 μB per formula unit
! SG: I-4m2, No. 119
! E_form: 329.1 meV/atom
! crystal system: tetragonal
! distance to the lowest polymorph of the same formula: 11 meV per atom

***

! TlCoNi2 PBE-GGA relaxed; values from VASP
&SYSTEM
  ibrav = 0, nat = 4, ntyp = 3
/
ATOMIC_SPECIES
Tl 204.38 Tl.upf
Co 58.93 Co.upf
Ni 58.69 Ni.upf
CELL_PARAMETERS angstrom
2.8806 0.0000 0.0000
0.0000 3.3415 0.0000
-0.0104 0.0000 5.8072
ATOMIC_POSITIONS crystal
Tl 0.0000 0.0000 0.0000
Co 0.0000 0.0000 0.5000
Ni 0.4993 0.5000 0.7067
Ni 0.5007 0.5000 0.2933
! total moment: 2.53 μB per formula unit
! SG: P2/m, No. 10
! E_form: 321.1 meV/atom
! crystal system: monoclinic
! distance to the lowest polymorph of the same formula: 3 meV per atom

***

! Tl2CoNi2 PBE-GGA relaxed; values from VASP
&SYSTEM
  ibrav = 0, nat = 10, ntyp = 3
/
ATOMIC_SPECIES
Tl 204.38 Tl.upf
Co 58.93 Co.upf
Ni 58.69 Ni.upf
CELL_PARAMETERS angstrom
6.4277 0.0000 0.0000
0.0000 6.4277 0.0000
0.0000 0.0000 3.9933
ATOMIC_POSITIONS crystal
Tl 0.1758 0.3242 0.0000
Tl 0.3242 0.8242 0.0000
Tl 0.6758 0.1758 0.0000
Tl 0.8242 0.6758 0.0000
Co 0.0000 0.0000 0.5000
Co 0.5000 0.5000 0.5000
Ni 0.1340 0.6340 0.5000
Ni 0.3660 0.1340 0.5000
Ni 0.6340 0.8660 0.5000
Ni 0.8660 0.3660 0.5000
! total moment: 2.17 μB per formula unit
! SG: P4/mbm, No. 127
! E_form: 437.6 meV/atom
! crystal system: tetragonal

***

! TlCoNi2 PBE-GGA relaxed; values from VASP
&SYSTEM
  ibrav = 0, nat = 16, ntyp = 3
/
ATOMIC_SPECIES
Tl 204.38 Tl.upf
Co 58.93 Co.upf
Ni 58.69 Ni.upf
CELL_PARAMETERS angstrom
6.0396 0.0000 0.0000
0.0000 6.0396 0.0000
0.0000 0.0000 6.0396
ATOMIC_POSITIONS crystal
Tl 0.0000 0.0000 0.0000
Tl 0.0000 0.5000 0.5000
Tl 0.5000 0.0000 0.5000
Tl 0.5000 0.5000 0.0000
Co 0.0000 0.0000 0.5000
Co 0.0000 0.5000 0.0000
Co 0.5000 0.0000 0.0000
Co 0.5000 0.5000 0.5000
Ni 0.2500 0.2500 0.2500
Ni 0.2500 0.2500 0.7500
Ni 0.2500 0.7500 0.2500
Ni 0.2500 0.7500 0.7500
Ni 0.7500 0.2500 0.2500
Ni 0.7500 0.2500 0.7500
Ni 0.7500 0.7500 0.2500
Ni 0.7500 0.7500 0.7500
! total moment: 1.78 μB per formula unit
! SG: Fm-3m, No. 225
! E_form: 367.4 meV/atom
! crystal system: cubic
! distance to the lowest polymorph of the same formula: 49 meV per atom